Record 1
Below is an optimized crystal structure of TbTh2FeC2, with properties calculated at the GGA-PBE level.

Calculated values
As for the space group: Pnnm (58). As for the calculated formation energy: -13.2 kJ per mole of atoms.

Lattice parameters (Å, degrees): 5.7342 11.0973 3.7396 90.00 90.00 90.00
Sites, in units of the cell vectors:
Tb 0.0000 0.0000 0.0000
Tb 0.5000 0.5000 0.5000
Th 0.0242 0.2956 0.5000
Th 0.4758 0.7956 0.0000
Th 0.5242 0.2044 0.0000
Th 0.9758 0.7044 0.5000
Fe 0.0000 0.5000 0.0000
Fe 0.5000 0.0000 0.5000
C 0.2413 0.8900 0.5000
C 0.2587 0.3900 0.0000
C 0.7413 0.6100 0.0000
C 0.7587 0.1100 0.5000


Record 2
Below is an optimized crystal structure of Tb2ZnFeC, with properties calculated at the GGA-PBE level.

Calculated values
As for the space group: P4/mmm (123). As for the calculated formation energy: -30.7 kJ per mole of atoms.

Lattice parameters (Å, degrees): 4.9941 4.9941 3.6665 90.00 90.00 90.00
Sites, in units of the cell vectors:
Tb 0.0000 0.5000 0.0000
Tb 0.5000 0.0000 0.0000
Zn 0.0000 0.0000 0.5000
Fe 0.5000 0.5000 0.5000
C 0.5000 0.5000 0.0000


Record order is preserved below.
Uncorrected energy: -7.867 -5.963 eV per atom